1.
A plane-wave DFT calculation with PBE was carried out for a geometry-optimized PmTlGa structure.

The structure belongs to space group P3m1 (No. 156); the cell edges are 4.6548, 4.6548 and 4.1066 Å and the angles 90.00°, 90.00° and 120.00°. The asymmetric unit holds Pm at (0.0000, 0.0000, 0.0000), Tl at (0.6667, 0.3333, 0.5693) and Ga at (0.3333, 0.6667, 0.3735).

The value obtained for the formation energy is -0.401 eV/atom. As for the density of states at the Fermi level: 0.3741 states/eV/atom. For the raw total energy, the calculation gives -3.78 eV/atom.

2.
A plane-wave DFT calculation with PBE was carried out for a geometry-optimized Pm5TlGa2 structure.

The structure belongs to space group I4/mcm (No. 140); the cell edges are 7.904, 7.904 and 14.902 Å and the angles 90.00°, 90.00° and 90.00°. The asymmetric unit holds Pm at (0.000, 0.000, 0.000), Pm at (0.170, 0.330, 0.144), Tl at (0.000, 0.000, 0.250) and Ga at (0.120, 0.380, 0.500).

The value obtained for the formation energy is -0.420 eV/atom. As for the density of states at the Fermi level: 1.0483 states/eV/atom. For the raw total energy, the calculation gives -4.44 eV/atom.

3.
A plane-wave DFT calculation with PBE was carried out for a geometry-optimized Pm9Tl2Ga structure.

The structure belongs to space group P4/mmm (No. 123); the cell edges are 4.921, 4.921 and 14.749 Å and the angles 90.00°, 90.00° and 90.00°. The asymmetric unit holds Pm at (0.000, 0.000, 0.000), Pm at (0.000, 0.000, 0.329), Pm at (0.000, 0.500, 0.159), Pm at (0.000, 0.500, 0.500), Tl at (0.500, 0.500, 0.331) and Ga at (0.500, 0.500, 0.000).

The value obtained for the formation energy is -0.212 eV/atom. As for the density of states at the Fermi level: 1.7526 states/eV/atom. For the raw total energy, the calculation gives -4.42 eV/atom.

4.
A plane-wave DFT calculation with PBE was carried out for a geometry-optimized Pm6Tl5Ga structure.

The structure belongs to space group P2/m (No. 10); the cell edges are 5.455, 7.654 and 8.622 Å and the angles 90.00°, 108.25° and 90.00°. The asymmetric unit holds Pm at (0.000, 0.242, 0.000), Pm at (0.338, 0.246, 0.676), Tl at (0.169, 0.500, 0.337), Tl at (0.170, 0.000, 0.340), Tl at (0.500, 0.500, 0.000) and Ga at (0.500, 0.000, 0.000).

The value obtained for the formation energy is -0.407 eV/atom. As for the density of states at the Fermi level: 0.7505 states/eV/atom. For the raw total energy, the calculation gives -4.02 eV/atom.

5.
A plane-wave DFT calculation with PBE was carried out for a geometry-optimized Pm5Tl2Ga structure.

The structure belongs to space group Pbam (No. 55); the cell edges are 6.907, 13.208 and 5.200 Å and the angles 90.00°, 90.00° and 90.00°. The asymmetric unit holds Pm at (0.000, 0.000, 0.000), Pm at (0.132, 0.281, 0.000), Pm at (0.166, 0.592, 0.500), Tl at (0.119, 0.845, 0.500) and Ga at (0.000, 0.500, 0.000).

The value obtained for the formation energy is -0.364 eV/atom. As for the density of states at the Fermi level: 0.8556 states/eV/atom. For the raw total energy, the calculation gives -4.30 eV/atom.

6.
A plane-wave DFT calculation with PBE was carried out for a geometry-optimized Pm6TlGa6 structure.

The structure belongs to space group P6/mmm (No. 191); the cell edges are 6.1154, 6.1154 and 10.3636 Å and the angles 90.00°, 90.00° and 120.00°. The asymmetric unit holds Pm at (0.0000, 0.0000, 0.1958), Pm at (0.3333, 0.6667, 0.0000), Pm at (0.3333, 0.6667, 0.5000), Tl at (0.0000, 0.0000, 0.5000) and Ga at (0.0000, 0.5000, 0.2472).

The value obtained for the formation energy is -0.442 eV/atom. As for the density of states at the Fermi level: 1.0646 states/eV/atom. For the raw total energy, the calculation gives -4.21 eV/atom.

7.
A plane-wave DFT calculation with PBE was carried out for a geometry-optimized Pm12Tl2Ga5 structure.

The structure belongs to space group C2/m (No. 12); the cell edges are 17.883, 7.247 and 9.223 Å and the angles 90.00°, 100.26° and 90.00°. The asymmetric unit holds Pm at (0.018, 0.000, 0.233), Pm at (0.100, 0.500, 0.289), Pm at (0.140, 0.238, 0.997), Pm at (0.178, 0.239, 0.598), Tl at (0.000, 0.279, 0.500), Ga at (0.000, 0.500, 0.000), Ga at (0.187, 0.000, 0.288) and Ga at (0.247, 0.000, 0.840).

The value obtained for the formation energy is -0.202 eV/atom. As for the density of states at the Fermi level: 1.0588 states/eV/atom. For the raw total energy, the calculation gives -4.25 eV/atom.

8.
A plane-wave DFT calculation with PBE was carried out for a geometry-optimized Pm3Tl2Ga structure.

The structure belongs to space group P4/mmm (No. 123); the cell edges are 3.766, 3.766 and 11.741 Å and the angles 90.00°, 90.00° and 90.00°. The asymmetric unit holds Pm at (0.000, 0.000, 0.000), Pm at (0.000, 0.000, 0.348), Tl at (0.500, 0.500, 0.172) and Ga at (0.500, 0.500, 0.500).

The value obtained for the formation energy is -0.444 eV/atom. As for the density of states at the Fermi level: 0.7914 states/eV/atom. For the raw total energy, the calculation gives -4.11 eV/atom.

Question: Which value of raw total energy does entry 4 give?
Answer: -4.02 eV/atom

Question: Which of these has the lowest raw total energy?
Answer: Pm5TlGa2